# 1
Compound: Pm4Ga2Sn5
Source: Alexandria via LeMat-Bulk
Functional: GGA-PBE
Structure: relaxed

The excess energy over the best structure of this formula in the dataset comes out at 96 meV/atom. For the calculated formation energy, the calculation gives -0.581 eV/atom. The value obtained for the mass density is 7.5 g/cm³. The total DFT energy (no corrections) comes out at -51.5 eV per cell. The magnetization comes out at 0.0000 μB/atom.

It has space group P2/m (No. 10), with a = 7.9995 Å, b = 3.5429 Å, c = 10.2093 Å, α = 90.00°, β = 93.36° and γ = 90.00°. The asymmetric unit holds Pm at (0.1757, 0.0000, 0.3767), Pm at (0.2616, 0.0000, 0.9367), Ga at (0.0625, 0.5000, 0.1275), Sn at (0.1755, 0.5000, 0.6634), Sn at (0.4268, 0.5000, 0.1925) and Sn at (0.5000, 0.5000, 0.5000).

# 2
Compound: Pm2Ga3Sn
Source: Alexandria via LeMat-Bulk
Functional: GGA-PBE
Structure: relaxed

For the calculated formation energy, the calculation gives -0.643 eV/atom. The value obtained for the mass density is 7.2 g/cm³. The total DFT energy (no corrections) comes out at -211.5 eV per cell. The magnetization comes out at 0.0000 μB/atom.

It has space group Fmmm (No. 69), with a = 8.5136 Å, b = 8.7738 Å, c = 15.1629 Å, α = 90.00°, β = 90.00° and γ = 90.00°. The asymmetric unit holds Pm at (0.2485, 0.0000, 0.0000), Pm at (0.2500, 0.2500, 0.2500), Ga at (0.0000, 0.0000, 0.3398), Ga at (0.0000, 0.2406, 0.4196) and Sn at (0.0000, 0.0000, 0.1671).

# 3
Compound: Pm6Ga5Sn
Source: Alexandria via LeMat-Bulk
Functional: GGA-PBE
Structure: relaxed

For the calculated formation energy, the calculation gives -0.571 eV/atom. The value obtained for the mass density is 7.3 g/cm³. The total DFT energy (no corrections) comes out at -109.0 eV per cell. The magnetization comes out at 0.0000 μB/atom.

It has space group C2/m (No. 12), with a = 5.2448 Å, b = 15.7296 Å, c = 7.3896 Å, α = 90.00°, β = 90.06° and γ = 90.00°. The asymmetric unit holds Pm at (0.9999, 0.0000, 0.2447), Pm at (0.0001, 0.3309, 0.2459), Ga at (0.0000, 0.1653, 0.0000), Ga at (0.0000, 0.1686, 0.5000), Ga at (0.0000, 0.5000, 0.0000) and Sn at (0.0000, 0.5000, 0.5000).

# 4
Compound: Pm6Ga2Sn
Source: Alexandria via LeMat-Bulk
Functional: GGA-PBE
Structure: relaxed

For the calculated formation energy, the calculation gives -0.458 eV/atom. The value obtained for the mass density is 7.0 g/cm³. The total DFT energy (no corrections) comes out at -170.7 eV per cell. The magnetization comes out at 0.0000 μB/atom.

It has space group Immm (No. 71), with a = 9.8757 Å, b = 9.8839 Å, c = 10.9355 Å, α = 90.00°, β = 90.00° and γ = 90.00°. The asymmetric unit holds Pm at (0.0000, 0.2015, 0.2365), Pm at (0.2051, 0.5000, 0.1778), Pm at (0.2181, 0.3141, 0.5000), Ga at (0.0000, 0.3586, 0.0000), Ga at (0.0000, 0.5000, 0.3807), Sn at (0.0000, 0.0000, 0.0000) and Sn at (0.0000, 0.0000, 0.5000).